No. 1
Density functional theory data (GGA-PBE) for a geometry-optimized LiInIrPb structure.

Calculated values
As for the total energy: -4.44 eV per atom. Its space group is F-43m, No. 216.

abc: 4.7344 4.7344 4.7344
angles: 60.00 60.00 60.00
Closest atoms and distances in Å follow each position.
Fractional positions:
Ir (0.5000, 0.5000, 0.5000)  4 Pb 2.90, 4 In 2.90
Li (0.0000, 0.0000, 0.0000)  4 In 2.90, 4 Pb 2.90
In (0.2500, 0.2500, 0.2500)  4 Ir 2.90, 4 Li 2.90
Pb (0.7500, 0.7500, 0.7500)  4 Li 2.90, 4 Ir 2.90



No. 2
Density functional theory data (GGA-PBE) for a geometry-optimized KBH4 structure.

Calculated values
As for the total energy: -3.64 eV per atom. Its space group is Pnma, No. 62.

abc: 3.3962 8.0013 8.7162
angles: 90.00 90.00 90.00
Closest atoms and distances in Å follow each position.
Fractional positions:
B (0.7500, 0.4748, 0.4581)  2 H 1.28-1.29
B (0.2500, 0.0252, 0.9581)  2 H 1.28-1.29
B (0.2500, 0.5252, 0.5419)  2 H 1.28-1.29
B (0.7500, 0.9748, 0.0419)  2 H 1.28-1.29
H (0.2500, 0.9739, 0.8172)  1 B 1.29
H (0.2500, 0.6829, 0.5674)  1 B 1.28
H (0.7500, 0.5261, 0.3172)  1 B 1.29
H (0.1389, 0.6009, 0.0453)  1 H 0.75
H (0.6389, 0.8991, 0.5453)  1 H 0.75
H (0.8611, 0.3991, 0.9547)  1 H 0.75
H (0.7500, 0.8171, 0.0674)  1 B 1.28
H (0.7500, 0.3171, 0.4326)  1 B 1.28
H (0.7500, 0.0261, 0.1828)  1 B 1.29
H (0.2500, 0.1829, 0.9326)  1 B 1.28
H (0.2500, 0.4739, 0.6828)  1 B 1.29
H (0.3611, 0.1009, 0.4547)  1 H 0.75
H (0.6389, 0.3991, 0.9547)  1 H 0.75
H (0.8611, 0.8991, 0.5453)  1 H 0.75
H (0.1389, 0.1009, 0.4547)  1 H 0.75
H (0.3611, 0.6009, 0.0453)  1 H 0.75
K (0.2500, 0.2848, 0.2145)  11 H 2.56-2.78
K (0.7500, 0.2152, 0.7145)  11 H 2.56-2.78
K (0.7500, 0.7152, 0.7855)  11 H 2.56-2.78
K (0.2500, 0.7848, 0.2855)  11 H 2.56-2.78



No. 3
Density functional theory data (GGA-PBE) for a geometry-optimized KVGe2 structure.

Calculated values
The value obtained for the excess energy over the best structure of this formula in the dataset is 1.57 kcal/mol of atoms. Its space group is R-3m, No. 166.

abc: 4.3198 4.3198 8.1827
angles: 74.69 74.69 60.00
Closest atoms and distances in Å follow each position.
Fractional positions:
Ge (0.1369, 0.1369, 0.5891)  3 V 2.59, 3 Ge 2.86
Ge (0.8630, 0.8630, 0.4108)  3 V 2.59, 3 Ge 2.86
V (0.5000, 0.5000, 0.5000)  6 Ge 2.59
K (0.0000, 0.0000, 0.0000)  2 Ge 3.20



No. 4
Density functional theory data (GGA-PBE) for a geometry-optimized Na4DySb3Te8 structure.

Calculated values
The uncorrected formation energy comes out at -667 meV/atom. Its space group is R-3m, No. 166.

abc: 8.8895 9.1524 8.8884
angles: 119.07 120.00 90.00
Closest atoms and distances in Å follow each position.
Fractional positions:
Te (0.7567, 0.2704, 0.5134)  2 Sb 3.10, 1 Dy 3.10, 3 Na 3.28
Te (0.2561, 0.2686, 0.5122)  3 Sb 3.11, 3 Na 3.27-3.28
Te (0.2433, 0.7296, 0.9865)  2 Sb 3.10, 1 Dy 3.10, 3 Na 3.28
Te (0.7432, 0.7296, 0.9865)  2 Sb 3.10, 1 Dy 3.10, 3 Na 3.28
Te (0.7439, 0.7314, 0.4878)  3 Sb 3.11, 3 Na 3.27-3.28
Te (0.7567, 0.2704, 0.0135)  2 Sb 3.10, 1 Dy 3.10, 3 Na 3.28
Te (0.2568, 0.2704, 0.0135)  2 Sb 3.10, 1 Dy 3.10, 3 Na 3.28
Te (0.2433, 0.7296, 0.4866)  2 Sb 3.10, 1 Dy 3.10, 3 Na 3.28
Na (0.5000, 0.0000, 0.5000)  6 Te 3.28
Na (0.0000, 0.0000, 0.0000)  6 Te 3.27-3.28
Na (0.0000, 0.0000, 0.5000)  6 Te 3.28
Na (0.5000, 0.0000, 0.0000)  6 Te 3.28
Dy (0.0000, 0.5000, 0.0000)  6 Te 3.10
Sb (0.0000, 0.5000, 0.5000)  6 Te 3.10-3.11
Sb (0.5000, 0.5000, 0.5000)  6 Te 3.10-3.11
Sb (0.5000, 0.5000, 0.0000)  6 Te 3.10-3.11